Entry from the Alexandria database: crystalline Na3Mn2FeO6 at its relaxed geometry (GGA+U).

energy = -147.377 eV/cell

Lattice parameters (Å, degrees): 5.207 9.463 5.639 90.00 106.36 90.00
Space group C2/m (No. 12)
One atom of each set of equivalent atoms:
Na1 0.000 0.000 0.000 [2 per cell]
Na2 0.000 0.333 0.000 [4 per cell]
Mn1 0.000 0.164 0.500 [4 per cell]
Fe1 0.000 0.500 0.500 [2 per cell]
O1 0.245 0.000 0.709 [4 per cell]
O2 0.246 0.337 0.698 [8 per cell]